Computed, not measured: a relaxed Eu2HoAg crystal at the GGA-PBE level of DFT.

Computed properties:
**E above lowest polymorph**: 0.261 eV per atom
**Formation energy**: 0.200 eV per atom
**Raw total energy**: -27.2 eV for the cell shown

Unit cell a=11.908 b=11.908 c=11.908 alpha=17.31 beta=17.31 gamma=17.31
Fractional positions:
Eu 0.097 0.097 0.097
Eu 0.903 0.903 0.903
Ho 0.000 0.000 0.000
Ag 0.500 0.500 0.500